# PBE GaTcPb2O6, relaxed
# - DFT total energy (eV per atom) = -6.38
# - space group = No. 107
# - formation energy from raw total energies (eV/atom) = -1.323
# - DOS at the Fermi energy (states/eV/atom) = 0.468
data_GaTcPb2O6
_chemical_formula_sum 'Ga1 Tc1 Pb2 O6'
_cell_length_a 5.511
_cell_length_b 5.511
_cell_length_c 5.916
_cell_angle_alpha 117.77
_cell_angle_beta 117.77
_cell_angle_gamma 90.00
_symmetry_space_group_name_H-M 'P 1'
_symmetry_Int_Tables_number 1
_symmetry_space_group_name_Hall 'P 1'
loop_
_atom_site_label
_atom_site_fract_x
_atom_site_fract_y
_atom_site_fract_z
_atom_site_occupancy
O1 0.206 0.206 0.411 1
O2 0.720 0.232 0.951 1
O3 0.231 0.232 0.951 1
O4 0.231 0.721 0.951 1
O5 0.720 0.721 0.951 1
O6 0.754 0.754 0.507 1
Tc1 0.001 0.002 0.002 1
Pb1 0.797 0.297 0.594 1
Pb2 0.297 0.797 0.594 1
Ga1 0.542 0.543 0.085 1